# 1
Entry from Alexandria: a relaxed AcPPt crystal (GGA-PBE).

Summary:
DOS(E_F) ... 2.1 states/eV/cell
Calculated formation energy ... -128.0 kJ/mol of atoms
Distance to the lowest polymorph of the same formula ... 0 kJ/mol of formula units
Magnetic moment ... 0.00 μB per formula unit
Symmetry ... P6_3/mmc

abc: 4.302 4.302 8.580
angles: 90.00 90.00 120.00
Fractional coordinates of all 6 atoms:
P (0.667, 0.333, 0.750)
P (0.333, 0.667, 0.250)
Pt (0.333, 0.667, 0.750)
Pt (0.667, 0.333, 0.250)
Ac (0.000, 0.000, 0.000)
Ac (0.000, 0.000, 0.500)

# 2
Entry from Alexandria: a relaxed AcP2Pt4 crystal (GGA-PBE).

Summary:
DOS(E_F) ... 8.8 states/eV/cell
Calculated formation energy ... -71.9 kJ/mol of atoms
Magnetic moment ... 0.00 μB per formula unit
Symmetry ... P4_2/mnm

abc: 3.802 8.113 8.113
angles: 90.00 90.00 90.00
Fractional coordinates of all 14 atoms:
Pt (0.500, 0.849, 0.393)
Pt (0.500, 0.151, 0.607)
Pt (0.500, 0.393, 0.849)
Pt (0.000, 0.651, 0.893)
Pt (0.000, 0.349, 0.107)
Pt (0.000, 0.107, 0.349)
Pt (0.000, 0.893, 0.651)
Pt (0.500, 0.607, 0.151)
P (0.000, 0.215, 0.785)
P (0.000, 0.785, 0.215)
P (0.500, 0.715, 0.715)
P (0.500, 0.285, 0.285)
Ac (0.000, 0.500, 0.500)
Ac (0.500, 0.000, 0.000)

# 3
Entry from Alexandria: a relaxed Ac2PPt3 crystal (GGA-PBE).

Summary:
DOS(E_F) ... 5.9 states/eV/cell
Calculated formation energy ... -115.1 kJ/mol of atoms
Distance to the lowest polymorph of the same formula ... 0 kJ/mol of formula units
Magnetic moment ... 0.00 μB per formula unit
Symmetry ... Fmmm

abc: 6.111 6.111 8.754
angles: 109.54 109.54 92.40
Fractional coordinates of all 12 atoms:
Pt (0.823, 0.353, 0.176)
Pt (0.177, 0.177, 0.354)
Pt (0.177, 0.647, 0.824)
Pt (0.353, 0.823, 0.176)
Pt (0.823, 0.823, 0.646)
Pt (0.647, 0.177, 0.824)
P (0.334, 0.334, 0.669)
P (0.666, 0.666, 0.331)
Ac (0.250, 0.750, 0.500)
Ac (0.750, 0.250, 0.500)
Ac (0.239, 0.239, 0.000)
Ac (0.761, 0.761, 0.000)

# 4
Entry from Alexandria: a relaxed AcPPt crystal (GGA-PBE).

Summary:
DOS(E_F) ... 2.7 states/eV/cell
Calculated formation energy ... -53.2 kJ/mol of atoms
Distance to the lowest polymorph of the same formula ... 225 kJ/mol of formula units
Magnetic moment ... 0.00 μB per formula unit
Symmetry ... I4mm

abc: 3.561 3.561 5.885
angles: 107.61 107.61 90.00
Fractional coordinates of all 3 atoms:
P (0.284, 0.284, 0.569)
Pt (0.711, 0.711, 0.422)
Ac (0.005, 0.005, 0.009)

# 5
Entry from Alexandria: a relaxed AcP3Pt3 crystal (GGA-PBE).

Summary:
DOS(E_F) ... 8.7 states/eV/cell
Calculated formation energy ... -77.2 kJ/mol of atoms
Magnetic moment ... 0.00 μB per formula unit
Symmetry ... Pm-3n

abc: 6.608 6.608 6.608
angles: 90.00 90.00 90.00
Fractional coordinates of all 14 atoms:
P (0.750, 0.000, 0.500)
P (0.000, 0.500, 0.750)
P (0.500, 0.750, 0.000)
P (0.000, 0.500, 0.250)
P (0.250, 0.000, 0.500)
P (0.500, 0.250, 0.000)
Pt (0.500, 0.000, 0.750)
Pt (0.750, 0.500, 0.000)
Pt (0.000, 0.750, 0.500)
Pt (0.500, 0.000, 0.250)
Pt (0.250, 0.500, 0.000)
Pt (0.000, 0.250, 0.500)
Ac (0.500, 0.500, 0.500)
Ac (0.000, 0.000, 0.000)

# 6
Entry from Alexandria: a relaxed Ac2PPt crystal (GGA-PBE).

Summary:
DOS(E_F) ... 3.5 states/eV/cell
Calculated formation energy ... -110.6 kJ/mol of atoms
Distance to the lowest polymorph of the same formula ... 60 kJ/mol of formula units
Magnetic moment ... 0.00 μB per formula unit
Symmetry ... R3m

abc: 4.301 4.301 8.042
angles: 74.49 74.49 60.00
Fractional coordinates of all 4 atoms:
Ac (0.253, 0.253, 0.240)
Ac (0.082, 0.082, 0.755)
P (0.666, 0.666, 0.003)
Pt (0.499, 0.499, 0.502)